Below is UMn5Ga2Si after structural relaxation, with properties calculated at the PBE-GGA level.

abc: 4.4173 5.0884 13.1947
angles: 90.00 90.00 90.00
Space group Immm (No. 71)
Unique sites:
U 0.0000 0.0000 0.0000 [2 per cell]
Mn 0.0000 0.2519 0.3485 [8 per cell]
Mn 0.0000 0.5000 0.0000 [2 per cell]
Ga 0.0000 0.5000 0.1857 [4 per cell]
Si 0.0000 0.0000 0.5000 [2 per cell]

volume = 16.48 Å³ per atom
crystal system = orthorhombic
magnetization = 11.02 μB/f.u.
calculated density = 7.617 Mg/m³
formation energy from raw total energies = 0.23 eV/atom



Below is CdRe2HgO8 after structural relaxation, with properties calculated at the PBE-GGA level.

abc: 10.7420 6.2302 8.5902
angles: 90.00 114.67 90.00
Space group C2/m (No. 12)
Unique sites:
Cd 0.0000 0.0000 0.0000 [2 per cell]
Re 0.2410 0.5000 0.2335 [4 per cell]
Hg 0.0000 0.5000 0.5000 [2 per cell]
O 0.1362 0.0000 0.8525 [4 per cell]
O 0.1381 0.2687 0.1658 [8 per cell]
O 0.1763 0.0000 0.5455 [4 per cell]

volume = 21.77 Å³ per atom
crystal system = monoclinic
magnetization = 0.00 μB/f.u.
calculated density = 5.171 Mg/m³
formation energy from raw total energies = -1.41 eV/atom



Below is K2SrSi2 after structural relaxation, with properties calculated at the PBE-GGA level.

abc: 4.7262 4.7262 14.6137
angles: 90.00 90.00 90.00
Space group I4/mmm (No. 139)
Unique sites:
K 0.0000 0.5000 0.2500 [4 per cell]
Sr 0.0000 0.0000 0.0000 [2 per cell]
Si 0.0000 0.0000 0.4222 [4 per cell]

volume = 32.64 Å³ per atom
crystal system = tetragonal
relative energy among the computed polymorphs = 0.00 eV/f.u.
magnetization = 0.00 μB/f.u.
calculated density = 2.259 Mg/m³
formation energy from raw total energies = 0.03 eV/atom



Below is TcP2PdO after structural relaxation, with properties calculated at the PBE-GGA level.

abc: 4.6857 4.6857 3.8061
angles: 90.00 90.00 90.00
Space group P4/mmm (No. 123)
Unique sites:
Tc 0.0000 0.0000 0.0000 [1 per cell]
P 0.0000 0.5000 0.5000 [2 per cell]
Pd 0.5000 0.5000 0.5000 [1 per cell]
O 0.5000 0.5000 0.0000 [1 per cell]

volume = 16.71 Å³ per atom
crystal system = tetragonal
relative energy among the computed polymorphs = 4.13 eV/f.u.
magnetization = 2.71 μB/f.u.
calculated density = 5.611 Mg/m³
formation energy from raw total energies = 0.84 eV/atom



Below is FeCoSb2 after structural relaxation, with properties calculated at the PBE-GGA level.

abc: 6.7032 6.7032 6.7032
angles: 90.00 90.00 90.00
Space group F-43m (No. 216)
Unique sites:
Fe 0.0000 0.0000 0.0000 [4 per cell]
Co 0.2500 0.2500 0.7500 [4 per cell]
Sb 0.0000 0.0000 0.5000 [4 per cell]
Sb 0.2500 0.2500 0.2500 [4 per cell]

volume = 18.82 Å³ per atom
crystal system = cubic
magnetization = 4.18 μB/f.u.
calculated density = 7.902 Mg/m³
formation energy from raw total energies = 0.71 eV/atom



Below is Sc2TlCl after structural relaxation, with properties calculated at the PBE-GGA level.

abc: 7.3751 7.3751 7.3751
angles: 90.00 90.00 90.00
Space group F-43m (No. 216)
Unique sites:
Sc 0.0000 0.0000 0.0000 [4 per cell]
Sc 0.2500 0.2500 0.2500 [4 per cell]
Tl 0.0000 0.0000 0.5000 [4 per cell]
Cl 0.2500 0.2500 0.7500 [4 per cell]

volume = 25.07 Å³ per atom
crystal system = cubic
relative energy among the computed polymorphs = 3.32 eV/f.u.
magnetization = 2.25 μB/f.u.
calculated density = 5.460 Mg/m³
formation energy from raw total energies = 0.14 eV/atom